No. 1
8
Lattice="4.376 0.000 0.000 0.000 4.376 0.000 0.000 0.000 9.297" Properties=species:S:1:pos:R:3 comment="GdZnAsO (PBE, relaxed)" mass_density_g_cm3=5.9 e_tot_ev_per_atom=-4.385 pbc="T T T"
Gd 1.094 3.282 0.000
Gd 3.282 1.094 0.000
Zn 1.094 1.094 4.504
Zn 3.282 3.282 4.793
As 1.094 1.094 1.753
As 3.282 3.282 7.544
O 1.094 3.282 4.648
O 3.282 1.094 4.648

No. 2
8
Lattice="4.806 0.000 0.000 0.000 4.806 0.000 0.000 0.000 6.904" Properties=species:S:1:pos:R:3 comment="Na4InGaPd2 (PBE, relaxed)" mass_density_g_cm3=5.1 e_tot_ev_per_atom=-2.840 pbc="T T T"
Na 0.000 0.000 0.000
Na 0.000 2.403 1.633
Na 2.403 0.000 5.270
Na 2.403 2.403 3.452
In 0.000 0.000 3.452
Ga 2.403 2.403 0.000
Pd 0.000 2.403 5.269
Pd 2.403 0.000 1.635

No. 3
7
Lattice="-2.388 2.388 8.032 2.388 -2.388 8.032 2.388 2.388 -8.032" Properties=species:S:1:pos:R:3 comment="Cs2CdCl2F2 (PBE, relaxed)" mass_density_g_cm3=4.4 e_tot_ev_per_atom=-3.521 pbc="T T T"
Cs 0.000 0.000 2.062
Cs 0.000 0.000 14.002
Cd 0.000 0.000 8.032
Cl 0.000 0.000 5.500
Cl 0.000 0.000 10.564
F 2.388 0.000 0.000
F 0.000 2.388 0.000

No. 4
8
Lattice="4.639 0.000 0.000 -2.319 4.017 0.000 0.000 0.000 9.970" Properties=species:S:1:pos:R:3 comment="BaDySn2Pd4 (PBE, relaxed)" mass_density_g_cm3=8.6 e_tot_ev_per_atom=-5.170 pbc="T T T"
Ba 0.000 0.000 0.000
Dy 0.000 2.678 4.985
Sn 2.319 1.339 2.769
Sn 2.319 1.339 7.201
Pd 0.000 0.000 3.492
Pd 0.000 0.000 6.478
Pd 0.000 2.678 2.139
Pd 0.000 2.678 7.830

No. 5
8
Lattice="3.104 0.000 0.000 -1.552 2.688 0.000 0.000 0.000 13.025" Properties=species:S:1:pos:R:3 comment="Ta4FeGeN2 (PBE, relaxed)" mass_density_g_cm3=13.5 e_tot_ev_per_atom=-10.090 pbc="T T T"
Ta 0.000 0.000 1.955
Ta 0.000 0.000 11.070
Ta 0.000 1.792 4.425
Ta 0.000 1.792 8.600
Fe 0.000 1.792 0.000
Ge 0.000 0.000 6.512
N 1.552 0.896 3.175
N 1.552 0.896 9.850

No. 6
6
Lattice="5.732 0.000 0.000 -0.026 5.760 0.000 -2.774 -2.874 5.402" Properties=species:S:1:pos:R:3 comment="GaAgBrCl3 (PBE, relaxed)" mass_density_g_cm3=3.4 e_tot_ev_per_atom=-3.044 pbc="T T T"
Ga 0.000 0.000 0.000
Ag 2.929 0.004 2.724
Br 1.237 1.527 1.301
Cl -1.409 1.710 4.154
Cl 1.551 -1.707 4.164
Cl 4.542 4.355 1.247

No. 7
8
Lattice="3.363 0.000 0.000 -1.681 2.912 0.000 0.000 0.000 12.728" Properties=species:S:1:pos:R:3 comment="Ta4BiAsC2 (PBE, relaxed)" mass_density_g_cm3=13.7 e_tot_ev_per_atom=-9.663 pbc="T T T"
Ta 0.000 0.000 1.840
Ta 0.000 0.000 10.888
Ta 0.000 1.941 4.032
Ta 0.000 1.941 8.696
Bi 0.000 0.000 6.364
As 0.000 1.941 0.000
C 1.681 0.971 2.987
C 1.681 0.971 9.740

No. 8
14
Lattice="0.000 4.411 4.411 4.411 0.000 4.411 4.411 4.411 0.000" Properties=species:S:1:pos:R:3 comment="DyMg2O4 (PBE, relaxed)" mass_density_g_cm3=5.3 e_tot_ev_per_atom=-6.511 pbc="T T T"
Dy 1.103 1.103 1.103
Dy 7.719 7.719 7.719
Mg 4.411 2.205 2.205
Mg 2.205 4.411 2.205
Mg 2.205 2.205 4.411
Mg 4.411 4.411 4.411
O 2.326 2.326 2.326
O 4.290 4.290 2.326
O 4.290 2.326 4.290
O 6.496 4.531 4.531
O 2.326 4.290 4.290
O 4.531 6.496 4.531
O 4.531 4.531 6.496
O 6.496 6.496 6.496